# SiPbSe GGA-PBE optimized geometry
# Electronic total energy in eV/atom: -4.176
# Formation energy (no corrections) in meV/atom: 30
# Energy above the most stable polymorph in this dataset in kJ per mole of atoms: 0.0
# Volume in Å³/f.u.: 74.86
# Magnetic moment in μB per cell: 0.00
# Fermi-level density of states in states/eV/cell: 1.76
data_SiPbSe
_cell_length_a 3.4961
_cell_length_b 3.4961
_cell_length_c 7.0726
_cell_angle_alpha 90.00
_cell_angle_beta 90.00
_cell_angle_gamma 120.00
_symmetry_space_group_name_H-M 'P 3 m 1'
_symmetry_Int_Tables_number 156
loop_
_symmetry_equiv_pos_as_xyz
'x,y,z'
'-y,x-y,z'
'-x+y,-x,z'
'-y,-x,z'
'-x+y,y,z'
'x,x-y,z'
loop_
_atom_site_label
_atom_site_type_symbol
_atom_site_fract_x
_atom_site_fract_y
_atom_site_fract_z
Si1 Si 0.0000 0.0000 0.0000
Pb1 Pb 0.6667 0.3333 0.3345
Se1 Se 0.3333 0.6667 0.7968



# GeTe2MoI GGA-PBE optimized geometry
# Electronic total energy in eV/atom: -3.631
# Formation energy (no corrections) in meV/atom: 1025
# Energy above the most stable polymorph in this dataset in kJ per mole of atoms: 38.1
# Volume in Å³/f.u.: 164.86
# Magnetic moment in μB per cell: 4.10
# Fermi-level density of states in states/eV/cell: 4.49
data_GeTe2MoI
_cell_length_a 5.431
_cell_length_b 5.431
_cell_length_c 5.590
_cell_angle_alpha 90.00
_cell_angle_beta 90.00
_cell_angle_gamma 90.00
_symmetry_space_group_name_H-M 'P 4/m m m'
_symmetry_Int_Tables_number 123
_symmetry_space_group_name_Hall '-P 4 2'
loop_
_atom_site_label
_atom_site_type_symbol
_atom_site_fract_x
_atom_site_fract_y
_atom_site_fract_z
Ge1 Ge 0.000 0.000 0.000
Te1 Te 0.000 0.500 0.000
Mo1 Mo 0.500 0.500 0.500
I1 I 0.000 0.000 0.500



# NaLiPN2 GGA-PBE optimized geometry
# Electronic total energy in eV/atom: -5.242
# Formation energy (no corrections) in meV/atom: -183
# Volume in Å³/f.u.: 107.79
# Magnetic moment in μB per cell: 0.00
# Fermi-level density of states in states/eV/cell: 3.73
data_NaLiPN2
_cell_length_a 4.671
_cell_length_b 16.630
_cell_length_c 5.551
_cell_angle_alpha 90.00
_cell_angle_beta 90.00
_cell_angle_gamma 90.00
_symmetry_space_group_name_H-M 'C m m e'
_symmetry_Int_Tables_number 67
_symmetry_space_group_name_Hall '-C 2a 2'
loop_
_atom_site_label
_atom_site_type_symbol
_atom_site_fract_x
_atom_site_fract_y
_atom_site_fract_z
Na1 Na 0.000 0.250 0.243
Li1 Li 0.000 0.000 0.000
P1 P 0.250 0.000 0.500
N1 N 0.000 0.043 0.676



# Zn5Br GGA-PBE optimized geometry
# Electronic total energy in eV/atom: -1.278
# Formation energy (no corrections) in meV/atom: 62
# Energy above the most stable polymorph in this dataset in kJ per mole of atoms: 3.5
# Volume in Å³/f.u.: 117.21
# Magnetic moment in μB per cell: 0.00
# Fermi-level density of states in states/eV/cell: 2.42
data_Zn5Br
_cell_length_a 3.390
_cell_length_b 3.885
_cell_length_c 17.799
_cell_angle_alpha 90.00
_cell_angle_beta 90.00
_cell_angle_gamma 90.00
_symmetry_space_group_name_H-M 'A m m 2'
_symmetry_Int_Tables_number 38
loop_
_symmetry_equiv_pos_as_xyz
'x,y,z'
'-x,-y,z'
'-x,y,z'
'x,-y,z'
'x,y+1/2,z+1/2'
'-x,-y+1/2,z+1/2'
'-x,y+1/2,z+1/2'
'x,-y+1/2,z+1/2'
loop_
_atom_site_label
_atom_site_type_symbol
_atom_site_fract_x
_atom_site_fract_y
_atom_site_fract_z
Zn1 Zn 0.000 0.000 0.000
Zn2 Zn 0.000 0.000 0.270
Zn3 Zn 0.000 0.000 0.602
Zn4 Zn 0.500 0.000 0.131
Zn5 Zn 0.500 0.000 0.734
Br1 Br 0.500 0.000 0.414



# KRuIO2 GGA-PBE optimized geometry
# Electronic total energy in eV/atom: -3.190
# Formation energy (no corrections) in meV/atom: 1178
# Energy above the most stable polymorph in this dataset in kJ per mole of atoms: 160.8
# Volume in Å³/f.u.: 138.87
# Magnetic moment in μB per cell: 5.95
# Fermi-level density of states in states/eV/cell: 6.28
data_KRuIO2
_cell_length_a 4.556
_cell_length_b 4.556
_cell_length_c 6.691
_cell_angle_alpha 90.00
_cell_angle_beta 90.00
_cell_angle_gamma 90.00
_symmetry_space_group_name_H-M 'P 4/m m m'
_symmetry_Int_Tables_number 123
_symmetry_space_group_name_Hall '-P 4 2'
loop_
_atom_site_label
_atom_site_type_symbol
_atom_site_fract_x
_atom_site_fract_y
_atom_site_fract_z
K1 K 0.000 0.000 0.000
Ru1 Ru 0.500 0.500 0.500
I1 I 0.000 0.000 0.500
O1 O 0.000 0.500 0.000



# TmTl2Cl5 GGA-PBE optimized geometry
# Electronic total energy in eV/atom: -3.960
# Formation energy (no corrections) in meV/atom: -1655
# Energy above the most stable polymorph in this dataset in kJ per mole of atoms: 0.0
# Volume in Å³/f.u.: 314.96
# Magnetic moment in μB per cell: 0.00
# Fermi-level density of states in states/eV/cell: 0.00
data_TmTl2Cl5
_cell_length_a 5.313
_cell_length_b 16.684
_cell_length_c 14.212
_cell_angle_alpha 90.00
_cell_angle_beta 90.00
_cell_angle_gamma 90.00
_symmetry_space_group_name_H-M 'C m c m'
_symmetry_Int_Tables_number 63
_symmetry_space_group_name_Hall '-C 2c 2'
loop_
_atom_site_label
_atom_site_type_symbol
_atom_site_fract_x
_atom_site_fract_y
_atom_site_fract_z
Tm1 Tm 0.000 0.156 0.250
Tl1 Tl 0.000 0.141 0.565
Cl1 Cl 0.000 0.047 0.122
Cl2 Cl 0.000 0.264 0.115
Cl3 Cl 0.000 0.331 0.750